PaFe2HO6 | PBE with a Hubbard U | relaxed

Cell: 4.4208 5.2341 9.5056 Å, 90.00 85.88 90.00°
Atoms (fractional coordinates):
Pa  0.5000  0.0000  0.0000
Pa  0.0000  0.5000  0.5000
Fe  0.9786  0.9903  0.3116
Fe  0.4786  0.5097  0.8116
Fe  0.0214  0.0097  0.6884
Fe  0.5214  0.4903  0.1884
H  0.5000  0.0000  0.5000
H  0.0000  0.5000  0.0000
O  0.2355  0.6344  0.9837
O  0.7355  0.8656  0.4837
O  0.7645  0.3656  0.0163
O  0.2645  0.1344  0.5163
O  0.2335  0.6784  0.3199
O  0.7335  0.8216  0.8199
O  0.7665  0.3216  0.6801
O  0.2665  0.1784  0.1801
O  0.7363  0.8120  0.1626
O  0.2363  0.6880  0.6626
O  0.2637  0.1880  0.8374
O  0.7637  0.3120  0.3374

Properties
VASP energy ... -144.11 eV per cell
Density ... 6.7 Mg/m³